1.
Below is TbGa2Au4 after structural relaxation, with properties calculated at the GGA-PBE level.

Geometry as POSCAR:
```
TbGa2Au4
1.0
17.797 0.000 0.000
0.000 4.505 0.000
0.000 0.000 6.774
Tb Ga Au
4 8 16
Direct
0.137 0.250 0.008 Tb
0.363 0.750 0.508 Tb
0.637 0.250 0.492 Tb
0.863 0.750 0.992 Tb
0.039 0.750 0.229 Ga
0.220 0.250 0.522 Ga
0.280 0.750 0.022 Ga
0.461 0.250 0.729 Ga
0.539 0.750 0.271 Ga
0.720 0.250 0.978 Ga
0.780 0.750 0.478 Ga
0.961 0.250 0.771 Ga
0.036 0.750 0.812 Au
0.074 0.250 0.513 Au
0.180 0.750 0.305 Au
0.192 0.750 0.727 Au
0.308 0.250 0.227 Au
0.320 0.250 0.805 Au
0.426 0.750 0.013 Au
0.464 0.250 0.312 Au
0.536 0.750 0.688 Au
0.574 0.250 0.987 Au
0.680 0.750 0.195 Au
0.692 0.750 0.773 Au
0.808 0.250 0.273 Au
0.820 0.250 0.695 Au
0.926 0.750 0.487 Au
0.964 0.250 0.188 Au
```


2.
Below is Fe3TcH after structural relaxation, with properties calculated at the GGA-PBE level.

The energy above the most stable polymorph in this dataset is 9.59 eV per formula unit.

Geometry as POSCAR:
```
Fe3TcH
1.0
4.494 0.000 0.000
0.000 4.494 0.000
0.000 0.000 4.494
Fe Tc H
3 1 1
Direct
0.000 0.000 0.500 Fe
0.000 0.500 0.000 Fe
0.500 0.000 0.000 Fe
0.000 0.000 0.000 Tc
0.500 0.500 0.500 H
```


3.
Below is Pr2NdMg2Sn2 after structural relaxation, with properties calculated at the GGA-PBE level.

Geometry as POSCAR:
```
Pr2NdMg2Sn2
1.0
2.511 1.450 9.174
-2.511 1.450 9.174
0.000 -2.899 9.174
Pr Nd Mg Sn
2 1 2 2
Direct
0.130 0.130 0.130 Pr
0.870 0.870 0.870 Pr
0.000 0.000 0.000 Nd
0.403 0.403 0.403 Mg
0.597 0.597 0.597 Mg
0.265 0.265 0.265 Sn
0.735 0.735 0.735 Sn
```


4.
Below is HfZn2Br after structural relaxation, with properties calculated at the GGA-PBE level.

For the formation energy without anion corrections, the calculation gives 52.8 kJ per mole of atoms. The energy above the most stable polymorph in this dataset is 1.27 eV per formula unit.

Geometry as POSCAR:
```
HfZn2Br
1.0
0.000 3.476 3.476
3.476 0.000 3.476
3.476 3.476 0.000
Hf Zn Br
1 2 1
Direct
0.000 0.000 0.000 Hf
0.250 0.250 0.250 Zn
0.750 0.750 0.750 Zn
0.500 0.500 0.500 Br
```


5.
Below is Er2MnAg after structural relaxation, with properties calculated at the GGA-PBE level.

Geometry as POSCAR:
```
Er2MnAg
1.0
3.508 0.000 0.000
0.000 3.508 0.000
0.000 0.000 7.269
Er Mn Ag
2 1 1
Direct
0.000 0.000 0.238 Er
0.000 0.000 0.762 Er
0.500 0.500 0.000 Mn
0.500 0.500 0.500 Ag
```


6.
Below is K2FeNi after structural relaxation, with properties calculated at the GGA-PBE level.

The energy above the most stable polymorph in this dataset is 0.05 eV per formula unit.

Geometry as POSCAR:
```
K2FeNi
1.0
3.363 0.000 0.000
0.000 3.363 0.000
0.000 0.000 10.075
K Fe Ni
2 1 1
Direct
0.000 0.000 0.000 K
0.500 0.500 0.426 K
0.500 0.500 0.738 Fe
0.000 0.000 0.685 Ni
```


7.
Below is Y2ThPt after structural relaxation, with properties calculated at the GGA-PBE level.

The energy above the most stable polymorph in this dataset is 0.00 eV per formula unit.

Geometry as POSCAR:
```
Y2ThPt
1.0
7.063 0.000 0.000
0.000 9.870 0.000
0.000 0.000 6.568
Y Th Pt
8 4 4
Direct
0.183 0.062 0.167 Y
0.183 0.438 0.167 Y
0.317 0.562 0.667 Y
0.317 0.938 0.667 Y
0.683 0.062 0.333 Y
0.683 0.438 0.333 Y
0.817 0.562 0.833 Y
0.817 0.938 0.833 Y
0.029 0.250 0.650 Th
0.471 0.750 0.150 Th
0.529 0.250 0.850 Th
0.971 0.750 0.350 Th
0.121 0.750 0.938 Pt
0.379 0.250 0.438 Pt
0.621 0.750 0.562 Pt
0.879 0.250 0.062 Pt
```


8.
Below is MoIrS2Cl after structural relaxation, with properties calculated at the GGA-PBE level.

For the formation energy without anion corrections, the calculation gives 90.6 kJ per mole of atoms. The energy above the most stable polymorph in this dataset is 0.45 eV per formula unit.

Geometry as POSCAR:
```
MoIrS2Cl
1.0
4.650 0.000 0.000
0.000 4.650 0.000
0.000 0.000 4.736
Mo Ir S Cl
1 1 2 1
Direct
0.000 0.000 0.000 Mo
0.500 0.500 0.500 Ir
0.000 0.500 0.000 S
0.500 0.000 0.000 S
0.000 0.000 0.500 Cl
```


9.
Below is Nd5I after structural relaxation, with properties calculated at the GGA-PBE level.

For the formation energy without anion corrections, the calculation gives -8.8 kJ per mole of atoms.

Geometry as POSCAR:
```
Nd5I
1.0
2.545 -7.928 0.000
2.545 7.928 0.000
0.000 0.000 4.970
Nd I
5 1
Direct
0.000 0.000 0.000 Nd
0.165 0.835 0.500 Nd
0.333 0.667 0.000 Nd
0.667 0.333 0.000 Nd
0.835 0.165 0.500 Nd
0.500 0.500 0.500 I
```


10.
Below is AcTbAg2Se4 after structural relaxation, with properties calculated at the GGA-PBE level.

For the formation energy without anion corrections, the calculation gives -109.4 kJ per mole of atoms.

Geometry as POSCAR:
```
AcTbAg2Se4
1.0
-3.564 3.678 4.215
3.564 -3.678 4.215
3.564 3.678 -4.215
Ac Tb Ag Se
1 1 2 4
Direct
0.000 0.000 0.000 Ac
0.500 0.500 0.000 Tb
0.332 0.832 0.500 Ag
0.668 0.168 0.500 Ag
0.090 0.096 0.550 Se
0.455 0.904 0.995 Se
0.545 0.540 0.450 Se
0.910 0.460 0.005 Se
```


11.
Below is Na8Hg3Au after structural relaxation, with properties calculated at the GGA-PBE level.

Geometry as POSCAR:
```
Na8Hg3Au
1.0
0.000 5.210 7.202
5.095 0.000 7.202
5.095 5.210 0.000
Na Hg Au
8 3 1
Direct
0.119 0.636 0.881 Na
0.123 0.638 0.362 Na
0.362 0.877 0.123 Na
0.364 0.881 0.636 Na
0.636 0.119 0.364 Na
0.638 0.123 0.877 Na
0.877 0.362 0.638 Na
0.881 0.364 0.119 Na
0.250 0.250 0.250 Hg
0.500 0.500 0.500 Hg
0.750 0.750 0.750 Hg
0.000 0.000 0.000 Au
```


12.
Below is BaLuTlCd after structural relaxation, with properties calculated at the GGA-PBE level.

Geometry as POSCAR:
```
BaLuTlCd
1.0
0.000 4.002 4.002
4.002 0.000 4.002
4.002 4.002 0.000
Ba Lu Tl Cd
1 1 1 1
Direct
0.000 0.000 0.000 Ba
0.500 0.500 0.500 Lu
0.750 0.750 0.750 Tl
0.250 0.250 0.250 Cd
```


13.
Below is Sr2LiCu9 after structural relaxation, with properties calculated at the GGA-PBE level.

Geometry as POSCAR:
```
Sr2LiCu9
1.0
2.609 1.506 8.516
-2.609 1.506 8.516
0.000 -3.012 8.516
Sr Li Cu
2 1 9
Direct
0.136 0.136 0.136 Sr
0.864 0.864 0.864 Sr
0.000 0.000 0.000 Li
0.080 0.576 0.576 Cu
0.332 0.332 0.332 Cu
0.424 0.424 0.920 Cu
0.424 0.920 0.424 Cu
0.500 0.500 0.500 Cu
0.576 0.080 0.576 Cu
0.576 0.576 0.080 Cu
0.668 0.668 0.668 Cu
0.920 0.424 0.424 Cu
```


14.
Below is Co4NiPtRh2 after structural relaxation, with properties calculated at the GGA-PBE level.

Geometry as POSCAR:
```
Co4NiPtRh2
1.0
4.301 0.000 0.000
0.000 4.303 0.000
-0.009 0.000 5.538
Co Ni Pt Rh
4 1 1 2
Direct
0.000 0.000 0.230 Co
0.000 0.000 0.770 Co
0.500 0.500 0.230 Co
0.500 0.500 0.770 Co
0.000 0.500 0.000 Ni
0.500 0.000 0.500 Pt
0.000 0.500 0.500 Rh
0.500 0.000 0.000 Rh
```


15.
Below is TmLuAlPt after structural relaxation, with properties calculated at the GGA-PBE level.

Geometry as POSCAR:
```
TmLuAlPt
1.0
0.000 3.492 3.492
3.492 0.000 3.492
3.492 3.492 0.000
Tm Lu Al Pt
1 1 1 1
Direct
0.000 0.000 0.000 Tm
0.500 0.500 0.500 Lu
0.250 0.250 0.250 Al
0.750 0.750 0.750 Pt
```


16.
Below is YNb3Zn after structural relaxation, with properties calculated at the GGA-PBE level.

The energy above the most stable polymorph in this dataset is 5.44 eV per formula unit.

Geometry as POSCAR:
```
YNb3Zn
1.0
4.941 0.000 0.000
0.000 4.941 0.000
0.000 0.000 4.941
Y Nb Zn
1 3 1
Direct
0.000 0.000 0.000 Y
0.000 0.000 0.500 Nb
0.000 0.500 0.000 Nb
0.500 0.000 0.000 Nb
0.500 0.500 0.500 Zn
```


17.
Below is Er2Zn2CuNi5 after structural relaxation, with properties calculated at the GGA-PBE level.

Geometry as POSCAR:
```
Er2Zn2CuNi5
1.0
9.100 0.000 0.000
0.000 9.100 0.000
0.000 0.000 3.555
Er Zn Cu Ni
4 4 2 10
Direct
0.178 0.322 0.000 Er
0.322 0.822 0.000 Er
0.678 0.178 0.000 Er
0.822 0.678 0.000 Er
0.120 0.620 0.000 Zn
0.380 0.120 0.000 Zn
0.620 0.880 0.000 Zn
0.880 0.380 0.000 Zn
0.000 0.000 0.000 Cu
0.500 0.500 0.000 Cu
0.000 0.500 0.500 Ni
0.058 0.801 0.500 Ni
0.199 0.058 0.500 Ni
0.301 0.558 0.500 Ni
0.442 0.301 0.500 Ni
0.500 0.000 0.500 Ni
0.558 0.699 0.500 Ni
0.699 0.442 0.500 Ni
0.801 0.942 0.500 Ni
0.942 0.199 0.500 Ni
```


18.
Below is ZrRu2W after structural relaxation, with properties calculated at the GGA-PBE level.

Geometry as POSCAR:
```
ZrRu2W
1.0
4.631 0.000 0.000
0.000 4.631 0.000
0.000 0.000 3.036
Zr Ru W
1 2 1
Direct
0.000 0.000 0.000 Zr
0.000 0.500 0.500 Ru
0.500 0.000 0.500 Ru
0.500 0.500 0.000 W
```


19.
Below is Dy4Ag2Hg5 after structural relaxation, with properties calculated at the GGA-PBE level.

Geometry as POSCAR:
```
Dy4Ag2Hg5
1.0
7.742 0.000 0.000
0.000 3.538 0.000
-0.864 0.000 9.869
Dy Ag Hg
4 2 5
Direct
0.181 0.000 0.376 Dy
0.259 0.000 0.933 Dy
0.741 0.000 0.067 Dy
0.819 0.000 0.624 Dy
0.068 0.500 0.134 Ag
0.932 0.500 0.866 Ag
0.170 0.500 0.651 Hg
0.445 0.500 0.187 Hg
0.500 0.500 0.500 Hg
0.555 0.500 0.813 Hg
0.830 0.500 0.349 Hg
```


20.
Below is Y2Zn2NiPt5 after structural relaxation, with properties calculated at the GGA-PBE level.

Geometry as POSCAR:
```
Y2Zn2NiPt5
1.0
9.500 0.000 0.000
0.000 9.500 0.000
0.000 0.000 3.794
Y Zn Ni Pt
4 4 2 10
Direct
0.177 0.323 0.000 Y
0.323 0.823 0.000 Y
0.677 0.177 0.000 Y
0.823 0.677 0.000 Y
0.123 0.623 0.000 Zn
0.377 0.123 0.000 Zn
0.623 0.877 0.000 Zn
0.877 0.377 0.000 Zn
0.000 0.000 0.000 Ni
0.500 0.500 0.000 Ni
0.000 0.500 0.500 Pt
0.063 0.801 0.500 Pt
0.199 0.063 0.500 Pt
0.301 0.563 0.500 Pt
0.437 0.301 0.500 Pt
0.500 0.000 0.500 Pt
0.563 0.699 0.500 Pt
0.699 0.437 0.500 Pt
0.801 0.937 0.500 Pt
0.937 0.199 0.500 Pt
```


Calculated density (g/cm³)
13.28; 4.88; 5.90; 7.70; 9.23; 2.81; 8.78; 6.29; 7.02; 6.89; 4.27; 8.15; 6.24; 11.26; 11.03; 5.96; 9.28; 12.17; 11.48; 13.03
Energy (eV/atom)
-3.888; -5.829; -4.029; -2.996; -5.378; -3.525; -7.248; -5.020; -4.323; -4.681; -1.368; -2.636; -3.475; -6.753; -5.481; -5.550; -4.692; -10.127; -2.676; -5.877